A plane-wave DFT calculation with PBE-GGA was carried out for a relaxed structure of TmPu3Pa2N6.

The density of states at the Fermi level is 13.581 states/eV/f.u.

It has space group C2/m (No. 12), with a = 6.0490 Å, b = 10.4715 Å, c = 6.0335 Å, α = 90.00°, β = 109.50° and γ = 90.00°. Symmetry generates all atoms from Tm at (0.0000, 0.0000, 0.0000), Pu at (0.0000, 0.1649, 0.5000), Pu at (0.0000, 0.5000, 0.5000), Pa at (0.0000, 0.3332, 0.0000), N at (0.2425, 0.5000, 0.2354) and N at (0.2466, 0.1682, 0.2350).


A plane-wave DFT calculation with PBE-GGA was carried out for a relaxed structure of Pu3U2PaN6.

The density of states at the Fermi level is 19.312 states/eV/f.u.

It has space group C2/m (No. 12), with a = 6.0287 Å, b = 10.4374 Å, c = 5.9790 Å, α = 90.00°, β = 109.61° and γ = 90.00°. Symmetry generates all atoms from Pu at (0.0000, 0.0000, 0.0000), Pu at (0.0000, 0.3344, 0.0000), U at (0.0000, 0.1669, 0.5000), Pa at (0.0000, 0.5000, 0.5000), N at (0.2394, 0.0000, 0.7351) and N at (0.2483, 0.3307, 0.7365).


A plane-wave DFT calculation with PBE-GGA was carried out for a relaxed structure of Pu3UPa3N8.

The density of states at the Fermi level is 26.468 states/eV/f.u.

It has space group C2/m (No. 12), with a = 11.9230 Å, b = 7.0418 Å, c = 6.9213 Å, α = 90.00°, β = 123.74° and γ = 90.00°. Symmetry generates all atoms from Pu at (0.0000, 0.0000, 0.0000), Pu at (0.2500, 0.2500, 0.5000), U at (0.0000, 0.0000, 0.5000), Pa at (0.0000, 0.5000, 0.5000), Pa at (0.2500, 0.2500, 0.0000), N at (0.0096, 0.2358, 0.7274), N at (0.2273, 0.0000, 0.7466) and N at (0.2431, 0.5000, 0.7564).


A plane-wave DFT calculation with PBE-GGA was carried out for a relaxed structure of PuUPa2N4.

The density of states at the Fermi level is 9.277 states/eV/f.u.

It has space group P2/m (No. 10), with a = 6.0162 Å, b = 3.4836 Å, c = 6.0349 Å, α = 90.00°, β = 109.51° and γ = 90.00°. Symmetry generates all atoms from Pu at (0.0000, 0.0000, 0.0000), U at (0.5000, 0.5000, 0.0000), Pa at (0.0000, 0.5000, 0.5000), Pa at (0.5000, 0.0000, 0.5000), N at (0.2568, 0.0000, 0.7525) and N at (0.2572, 0.5000, 0.2518).


A plane-wave DFT calculation with PBE-GGA was carried out for a relaxed structure of Pu2UPa3N6.

The density of states at the Fermi level is 13.587 states/eV/f.u.

It has space group C2/m (No. 12), with a = 6.0349 Å, b = 10.4427 Å, c = 6.0372 Å, α = 90.00°, β = 109.48° and γ = 90.00°. Symmetry generates all atoms from Pu at (0.0000, 0.1660, 0.0000), U at (0.0000, 0.5000, 0.0000), Pa at (0.0000, 0.0000, 0.5000), Pa at (0.0000, 0.3306, 0.5000), N at (0.2375, 0.5000, 0.7444) and N at (0.2444, 0.3387, 0.2497).


A plane-wave DFT calculation with PBE-GGA was carried out for a relaxed structure of Pu2U3PaN6.

The density of states at the Fermi level is 22.804 states/eV/f.u.

It has space group C2/m (No. 12), with a = 5.9900 Å, b = 10.3735 Å, c = 6.0074 Å, α = 90.00°, β = 109.41° and γ = 90.00°. Symmetry generates all atoms from Pu at (0.0000, 0.1662, 0.0000), U at (0.0000, 0.0000, 0.5000), U at (0.0000, 0.3314, 0.5000), Pa at (0.0000, 0.5000, 0.0000), N at (0.2411, 0.5000, 0.7371) and N at (0.2486, 0.1643, 0.7389).


A plane-wave DFT calculation with PBE-GGA was carried out for a relaxed structure of PuPaVN3.

The density of states at the Fermi level is 7.629 states/eV/f.u.

It has space group P2_1/m (No. 11), with a = 7.2182 Å, b = 3.3515 Å, c = 7.3716 Å, α = 90.00°, β = 95.49° and γ = 90.00°. Symmetry generates all atoms from Pu at (0.1506, 0.2500, 0.1740), Pa at (0.3637, 0.7500, 0.8198), V at (0.1067, 0.2500, 0.5805), N at (0.1161, 0.2500, 0.8513), N at (0.1756, 0.7500, 0.4704) and N at (0.4066, 0.7500, 0.1266).


A plane-wave DFT calculation with PBE-GGA was carried out for a relaxed structure of PuPa2VN4.

The density of states at the Fermi level is 12.427 states/eV/f.u.

It has space group Cmcm (No. 63), with a = 3.3848 Å, b = 11.6414 Å, c = 11.6759 Å, α = 90.00°, β = 90.00° and γ = 90.00°. Symmetry generates all atoms from Pu at (0.0000, 0.1045, 0.2500), Pa at (0.0000, 0.3674, 0.0517), V at (0.0000, 0.1588, 0.7500), N at (0.0000, 0.0000, 0.0000), N at (0.0000, 0.2717, 0.6237) and N at (0.0000, 0.4437, 0.2500).


A plane-wave DFT calculation with PBE-GGA was carried out for a relaxed structure of Pu2PaVN4.

The density of states at the Fermi level is 10.818 states/eV/f.u.

It has space group Cmcm (No. 63), with a = 3.2935 Å, b = 11.5406 Å, c = 11.5785 Å, α = 90.00°, β = 90.00° and γ = 90.00°. Symmetry generates all atoms from Pu at (0.0000, 0.1327, 0.0507), Pa at (0.0000, 0.3854, 0.2500), V at (0.0000, 0.3517, 0.7500), N at (0.0000, 0.0384, 0.2500), N at (0.0000, 0.2230, 0.6312) and N at (0.0000, 0.5000, 0.0000).


A plane-wave DFT calculation with PBE-GGA was carried out for a relaxed structure of YPuPa2N4.

The density of states at the Fermi level is 8.615 states/eV/f.u.

It has space group P2/m (No. 10), with a = 6.0360 Å, b = 3.5017 Å, c = 6.0913 Å, α = 90.00°, β = 109.64° and γ = 90.00°. Symmetry generates all atoms from Y at (0.0000, 0.0000, 0.0000), Pu at (0.0000, 0.5000, 0.5000), Pa at (0.5000, 0.0000, 0.5000), Pa at (0.5000, 0.5000, 0.0000), N at (0.2635, 0.5000, 0.2506) and N at (0.2639, 0.0000, 0.7592).


A plane-wave DFT calculation with PBE-GGA was carried out for a relaxed structure of YPu2PaN4.

The density of states at the Fermi level is 10.803 states/eV/f.u.

It has space group P2/m (No. 10), with a = 6.0428 Å, b = 3.5077 Å, c = 6.0468 Å, α = 90.00°, β = 109.47° and γ = 90.00°. Symmetry generates all atoms from Y at (0.0000, 0.0000, 0.0000), Pu at (0.5000, 0.0000, 0.5000), Pu at (0.5000, 0.5000, 0.0000), Pa at (0.0000, 0.5000, 0.5000), N at (0.2377, 0.0000, 0.7399) and N at (0.2455, 0.5000, 0.2584).


A plane-wave DFT calculation with PBE-GGA was carried out for a relaxed structure of Y2PuPaN6.

It has space group R3 (No. 146, hexagonal axes), with a = 5.8724 Å, b = 5.8724 Å, c = 14.6675 Å, α = 90.00°, β = 90.00° and γ = 120.00°. Symmetry generates all atoms from Y at (0.0000, 0.0000, 0.0000), Y at (0.0000, 0.0000, 0.4959), Pu at (0.0000, 0.0000, 0.7196), Pa at (0.0000, 0.0000, 0.2245), N at (0.0646, 0.3439, 0.7918) and N at (0.0734, 0.7016, 0.2960).


no.,E_form (uncorrected) (eV per atom),size of the total moment (μB/cell),total energy (eV for the cell shown)
1,-1.49,32.0,-268.61
2,-1.35,31.7,-282.44
3,-1.31,12.4,-338.04
4,-1.47,5.6,-89.68
5,-1.47,20.1,-272.13
6,-1.35,25.1,-276.37
7,-1.13,9.5,-129.46
8,-1.24,17.1,-342.54
9,-1.15,31.6,-359.02
10,-1.56,5.3,-85.57
11,-1.47,10.6,-89.70
12,-1.26,3.0,-298.06